Run 1
Below is an optimized crystal structure of HfMoP, with properties calculated at the PBE level.

abc: 4.6290 4.6290 5.2085
angles: 90.00 90.00 120.00
Last column: nearest neighbours and their distance in Å.
Positions (direct):
Mo  0.0000  0.0000  0.0000  2 Mo 2.60
Mo  0.0000  0.0000  0.5000  2 Mo 2.60
Hf  0.6667  0.3333  0.2500  5 P 2.60-2.67
Hf  0.3333  0.6667  0.7500  5 P 2.60-2.67
P  0.6667  0.3333  0.7500  5 Hf 2.60-2.67
P  0.3333  0.6667  0.2500  5 Hf 2.60-2.67

=====

Run 2
Below is an optimized crystal structure of HfMoP, with properties calculated at the PBE level.

abc: 4.3409 4.3409 5.9981
angles: 90.00 90.00 120.00
Last column: nearest neighbours and their distance in Å.
Positions (direct):
Mo  0.3333  0.6667  0.0415  4 P 2.52-2.55, 3 Hf 2.79
Mo  0.6667  0.3333  0.5415  4 P 2.52-2.55, 3 Hf 2.79
Hf  0.0000  0.0000  0.2470  6 Mo 2.79-3.07, 6 P 2.82-3.04, 2 Hf 3.00
Hf  0.0000  0.0000  0.7470  6 Mo 2.79-3.07, 6 P 2.82-3.04, 2 Hf 3.00
P  0.6667  0.3333  0.9616  4 Mo 2.52-2.55, 3 Hf 2.82
P  0.3333  0.6667  0.4616  4 Mo 2.52-2.55, 3 Hf 2.82

=====

Name the least stable of them. run 1.

=====

Run 1
Below is an optimized crystal structure of HfSi2Mo2, with properties calculated at the PBE level.

abc: 5.2878 5.2878 5.2878
angles: 129.28 129.28 74.55
Last column: nearest neighbours and their distance in Å.
Positions (direct):
Si  0.7500  0.2500  0.5000  4 Mo 2.46
Si  0.2500  0.7500  0.5000  4 Mo 2.46
Mo  0.3628  0.3628  0.0000  1 Mo 2.31, 4 Si 2.46
Mo  0.6372  0.6372  0.0000  1 Mo 2.31, 4 Si 2.46
Hf  0.0000  0.0000  0.0000  10 Mo 3.05-3.40, 8 Si 3.09

=====

Run 2
Below is an optimized crystal structure of HfSi2Mo2, with properties calculated at the PBE level.

abc: 6.9193 6.9193 3.2511
angles: 90.00 90.00 90.00
Last column: nearest neighbours and their distance in Å.
Positions (direct):
Si  0.1314  0.3686  0.0000  1 Si 2.57, 6 Mo 2.59-2.62, 2 Hf 2.71
Si  0.8686  0.6314  0.0000  1 Si 2.57, 6 Mo 2.59-2.62, 2 Hf 2.71
Si  0.3686  0.8686  0.0000  1 Si 2.57, 6 Mo 2.59-2.62, 2 Hf 2.71
Si  0.6314  0.1314  0.0000  1 Si 2.57, 6 Mo 2.59-2.62, 2 Hf 2.71
Mo  0.1587  0.6587  0.5000  6 Si 2.59-2.62
Mo  0.8413  0.3413  0.5000  6 Si 2.59-2.62
Mo  0.6587  0.8413  0.5000  6 Si 2.59-2.62
Mo  0.3413  0.1587  0.5000  6 Si 2.59-2.62
Hf  0.0000  0.0000  0.0000  4 Si 2.71
Hf  0.5000  0.5000  0.0000  4 Si 2.71

=====

Name the least stable of them. run 1.